# TmGa2WO8

A relaxed structure of TmGa2WO8 (PBE with a Hubbard U, Alexandria via LeMat-Bulk).

Lattice parameters (Å, degrees): 4.703 4.703 6.376 90.00 90.00 90.17
Fractional coordinates of all 12 atoms:
Tm: 0.000 0.000 0.000
Ga: 0.500 0.500 0.256
Ga: 0.500 0.500 0.744
W: 0.000 0.000 0.500
O: 0.199 0.801 0.279
O: 0.199 0.801 0.721
O: 0.299 0.299 0.500
O: 0.325 0.325 0.000
O: 0.675 0.675 0.000
O: 0.701 0.701 0.500
O: 0.801 0.199 0.279
O: 0.801 0.199 0.721

## Properties
DOS at the Fermi energy: 3.62 states/eV/cell
Energy: -6.86 eV/atom